Entry 1:
{
  "formula": "TmAuSeO",
  "functional": "GGA-PBE",
  "state": "relaxed",
  "lattice": [[2.035, -0.473, -3.323], [-3.360, -0.182, -2.022], [0.218, 9.526, -1.221]],
  "species": ["Au", "Au", "O", "O", "Se", "Se", "Tm", "Tm"],
  "frac_coords": [[0.873, 0.127, 0.500], [0.373, 0.627, 0.500], [0.622, 0.378, 0.000], [0.122, 0.878, 0.000], [0.623, 0.877, 0.276], [0.123, 0.377, 0.724], [0.122, 0.378, 0.111], [0.622, 0.878, 0.889]],
  "dft_energy_ev_per_atom": -5.9509
}

=====

Entry 2:
{
  "formula": "LuZrNiSn",
  "functional": "GGA-PBE",
  "state": "relaxed",
  "lattice": [[-0.321, 2.921, 3.912], [-4.089, 2.562, 0.811], [-2.945, -1.204, 3.717]],
  "species": ["Lu", "Ni", "Sn", "Zr"],
  "frac_coords": [[0.250, 0.250, 0.250], [0.750, 0.750, 0.750], [0.000, 0.000, 0.000], [0.500, 0.500, 0.500]],
  "dft_energy_ev_per_atom": -5.5700
}